Record 1
Density functional theory data (PBE) for Cs3Mn2PbBr9 after structural relaxation.

a = 7.9206 Å, b = 7.9206 Å, c = 9.7595 Å
α = 90.00°, β = 90.00°, γ = 120.00°
With the nearest neighbours (Å) after each atom.
Element x y z (fractional)
Cs  0.0000  0.0000  0.0000  12 Br 3.93-3.96
Br  0.1760  0.3519  0.3173  1 Mn 2.68, 1 Pb 3.00
Cs  0.3333  0.6667  0.6729  12 Br 3.93-4.09
Br  0.5000  0.5000  0.0000  2 Mn 2.74
Pb  0.0000  0.0000  0.5000  6 Br 3.00
Br  0.6481  0.8240  0.3173  1 Mn 2.68, 1 Pb 3.00
Mn  0.6667  0.3333  0.8454  6 Br 2.68-2.74
Br  0.8240  0.1760  0.6827  1 Mn 2.68, 1 Pb 3.00
Br  0.1760  0.8240  0.3173  1 Mn 2.68, 1 Pb 3.00
Br  0.5000  0.0000  0.0000  2 Mn 2.74
Cs  0.6667  0.3333  0.3271  12 Br 3.93-4.09
Br  0.0000  0.5000  0.0000  2 Mn 2.74
Br  0.8240  0.6481  0.6827  1 Mn 2.68, 1 Pb 3.00
Br  0.3519  0.1760  0.6827  1 Mn 2.68, 1 Pb 3.00
Mn  0.3333  0.6667  0.1546  6 Br 2.68-2.74

spin magnetization: 10.00 μB per cell
total energy: -58.1 eV per formula unit
V: 530.2 Å³ per cell
energy relative to the elements, uncorrected: -18.4 eV/f.u.
crystal system: trigonal

---

Record 2
Density functional theory data (PBE) for Cs2MnPbBr after structural relaxation.

a = 6.9256 Å, b = 5.1208 Å, c = 6.9256 Å
α = 90.00°, β = 90.00°, γ = 90.00°
With the nearest neighbours (Å) after each atom.
Element x y z (fractional)
Mn  0.0000  0.0000  0.0000  2 Pb 2.56
Cs  0.0000  0.0000  0.5000  2 Mn 3.46
Br  0.5000  0.5000  0.5000  8 Cs 4.31
Pb  0.0000  0.5000  0.0000  2 Mn 2.56
Cs  0.5000  0.0000  0.0000  2 Mn 3.46

DOS at the Fermi energy: 0.7769 states/eV per atom
spin magnetization: 3.68 μB per cell
total energy: -17.0 eV per formula unit
V: 245.6 Å³ per cell
energy relative to the elements, uncorrected: -0.7 eV/f.u.
crystal system: tetragonal

---

Record 3
Density functional theory data (PBE) for CsMn2PbBr8 after structural relaxation.

a = 7.1173 Å, b = 7.1173 Å, c = 10.2953 Å
α = 90.00°, β = 90.00°, γ = 120.00°
With the nearest neighbours (Å) after each atom.
Element x y z (fractional)
Br  0.3354  0.3356  0.3177  1 Mn 2.46
Pb  0.0000  0.0000  0.5000  6 Br 3.04
Br  0.9998  0.3354  0.6823  1 Mn 2.46
Br  0.6644  0.9998  0.3177  1 Mn 2.46
Br  0.6646  0.6644  0.6823  1 Mn 2.46
Br  0.0002  0.6646  0.3177  1 Mn 2.46
Mn  0.3333  0.6667  0.7475  4 Br 2.39-2.46
Br  0.6667  0.3333  0.0205  1 Mn 2.39
Br  0.3356  0.0002  0.6823  1 Mn 2.46
Mn  0.6667  0.3333  0.2525  4 Br 2.39-2.46
Br  0.3333  0.6667  0.9795  1 Mn 2.39
Cs  0.0000  0.0000  0.0000  12 Br 4.05-4.11

DOS at the Fermi energy: 0.9778 states/eV per atom
spin magnetization: 9.00 μB per cell
total energy: -47.4 eV per formula unit
V: 451.6 Å³ per cell
energy relative to the elements, uncorrected: -11.1 eV/f.u.
crystal system: trigonal

---

Record 4
Density functional theory data (PBE) for Cs2MnPdBr6 after structural relaxation.

a = 7.6935 Å, b = 7.6935 Å, c = 13.4776 Å
α = 73.42°, β = 73.42°, γ = 60.00°
With the nearest neighbours (Å) after each atom.
Element x y z (fractional)
Br  0.6143  0.1410  0.6304  1 Pd 2.68, 1 Mn 2.69
Pd  0.0000  0.0000  0.0000  6 Br 2.74
Br  0.2948  0.7904  0.1245  1 Mn 2.63, 1 Pd 2.74
Br  0.3857  0.8590  0.3696  1 Pd 2.68, 1 Mn 2.69
Mn  0.5874  0.5874  0.2379  6 Br 2.63-2.69
Br  0.2096  0.2096  0.8755  1 Mn 2.63, 1 Pd 2.74
Br  0.7904  0.2948  0.1245  1 Mn 2.63, 1 Pd 2.74
Cs  0.8767  0.8767  0.3698  12 Br 3.84-4.06
Cs  0.2938  0.2938  0.1187  12 Br 3.80-3.96
Br  0.6143  0.6143  0.6304  1 Pd 2.68, 1 Mn 2.69
Br  0.8590  0.3857  0.3696  1 Pd 2.68, 1 Mn 2.69
Pd  0.5000  0.5000  0.5000  6 Br 2.68
Br  0.7052  0.2096  0.8755  1 Mn 2.63, 1 Pd 2.74
Mn  0.4126  0.4126  0.7621  6 Br 2.63-2.69
Br  0.3857  0.3857  0.3696  1 Pd 2.68, 1 Mn 2.69
Cs  0.7062  0.7062  0.8813  12 Br 3.80-3.96
Br  0.2096  0.7052  0.8755  1 Mn 2.63, 1 Pd 2.74
Cs  0.1233  0.1233  0.6302  12 Br 3.84-4.06
Br  0.7904  0.7904  0.1245  1 Mn 2.63, 1 Pd 2.74
Br  0.1410  0.6143  0.6304  1 Pd 2.68, 1 Mn 2.69

DOS at the Fermi energy: 0.1313 states/eV per atom
spin magnetization: 10.04 μB per cell
total energy: -36.6 eV per formula unit
V: 652.3 Å³ per cell
energy relative to the elements, uncorrected: -10.5 eV/f.u.
crystal system: trigonal

---

Record 5
Density functional theory data (PBE) for CsPmMn2Br8 after structural relaxation.

a = 7.0511 Å, b = 7.0511 Å, c = 11.3127 Å
α = 71.84°, β = 71.84°, γ = 60.00°
With the nearest neighbours (Å) after each atom.
Element x y z (fractional)
Cs  0.5000  0.5000  0.5000  12 Br 4.09-4.26
Pm  0.0000  0.0000  0.0000  6 Br 2.90
Br  0.6183  0.2836  0.1609  1 Mn 2.54
Br  0.0628  0.3817  0.8391  1 Mn 2.54
Br  0.9372  0.6183  0.1609  1 Mn 2.54
Br  0.3817  0.7164  0.8391  1 Mn 2.54
Br  0.8225  0.8225  0.5326  1 Mn 2.42
Br  0.2836  0.9372  0.1609  1 Mn 2.54
Br  0.1775  0.1775  0.4674  1 Mn 2.42
Br  0.7164  0.0628  0.8391  1 Mn 2.54
Mn  0.7462  0.7462  0.7614  4 Br 2.42-2.54
Mn  0.2538  0.2538  0.2386  4 Br 2.42-2.54

DOS at the Fermi energy: 0.0000 states/eV per atom
spin magnetization: 10.00 μB per cell
total energy: -53.0 eV per formula unit
V: 454.5 Å³ per cell
energy relative to the elements, uncorrected: -15.6 eV/f.u.
crystal system: trigonal

---

Record 6
Density functional theory data (PBE) for CsPmMnBr6 after structural relaxation.

a = 7.3188 Å, b = 7.3183 Å, c = 8.1067 Å
α = 90.06°, β = 89.94°, γ = 59.93°
With the nearest neighbours (Å) after each atom.
Element x y z (fractional)
Mn  0.6665  0.6664  0.5000  6 Br 2.72
Br  0.6310  0.9814  0.3008  1 Mn 2.72, 1 Pm 2.89
Br  0.3877  0.6302  0.3007  1 Mn 2.72, 1 Pm 2.89
Cs  0.0000  0.0000  0.0000  6 Br 3.69
Br  0.9813  0.6309  0.6993  1 Mn 2.72, 1 Pm 2.89
Br  0.9829  0.3869  0.3006  1 Mn 2.72, 1 Pm 2.89
Pm  0.3334  0.3335  0.5000  6 Br 2.89
Br  0.6302  0.3876  0.6993  1 Mn 2.72, 1 Pm 2.89
Br  0.3868  0.9830  0.6993  1 Mn 2.72, 1 Pm 2.89

DOS at the Fermi energy: 0.0000 states/eV per atom
spin magnetization: 5.00 μB per cell
total energy: -38.5 eV per formula unit
V: 375.8 Å³ per cell
energy relative to the elements, uncorrected: -13.7 eV/f.u.
crystal system: monoclinic

---

Record 7
Density functional theory data (PBE) for CsPrMn2Br8 after structural relaxation.

a = 6.9416 Å, b = 6.9416 Å, c = 11.8936 Å
α = 73.03°, β = 73.03°, γ = 60.00°
With the nearest neighbours (Å) after each atom.
Element x y z (fractional)
Br  0.8768  0.5670  0.3311  1 Mn 2.53
Br  0.6807  0.6807  0.9579  1 Mn 2.42
Mn  0.7526  0.7526  0.7421  4 Br 2.42-2.53
Pr  0.5000  0.5000  0.5000  6 Br 2.95
Br  0.5670  0.2251  0.3311  1 Mn 2.53
Br  0.7749  0.4330  0.6689  1 Mn 2.53
Br  0.3193  0.3193  0.0421  1 Mn 2.42
Cs  0.0000  0.0000  0.0000  12 Br 4.04-4.36
Br  0.4330  0.1232  0.6689  1 Mn 2.53
Br  0.2251  0.8768  0.3311  1 Mn 2.53
Mn  0.2474  0.2474  0.2579  4 Br 2.42-2.53
Br  0.1232  0.7749  0.6689  1 Mn 2.53

DOS at the Fermi energy: 0.0000 states/eV per atom
spin magnetization: 10.00 μB per cell
total energy: -52.8 eV per formula unit
V: 467.3 Å³ per cell
energy relative to the elements, uncorrected: -15.5 eV/f.u.
crystal system: trigonal

---

Record 8
Density functional theory data (PBE) for CsPrMnBr6 after structural relaxation.

a = 7.3801 Å, b = 7.3800 Å, c = 8.0739 Å
α = 90.00°, β = 90.00°, γ = 59.99°
With the nearest neighbours (Å) after each atom.
Element x y z (fractional)
Br  0.9782  0.3891  0.2990  1 Mn 2.72, 1 Pr 2.93
Pr  0.3333  0.3334  0.5000  6 Br 2.93
Br  0.6326  0.3891  0.7010  1 Mn 2.72, 1 Pr 2.93
Cs  0.0000  0.0000  0.0000  6 Br 3.69
Mn  0.6666  0.6667  0.5000  6 Br 2.72
Br  0.9782  0.6327  0.7010  1 Mn 2.72, 1 Pr 2.93
Br  0.3891  0.9782  0.7010  1 Mn 2.72, 1 Pr 2.93
Br  0.3891  0.6327  0.2990  1 Mn 2.72, 1 Pr 2.93
Br  0.6327  0.9782  0.2990  1 Mn 2.72, 1 Pr 2.93

DOS at the Fermi energy: 0.0000 states/eV per atom
spin magnetization: 5.00 μB per cell
total energy: -38.5 eV per formula unit
V: 380.8 Å³ per cell
energy relative to the elements, uncorrected: -13.6 eV/f.u.
crystal system: trigonal

---

Record 9
Density functional theory data (PBE) for Cs2MnPtBr6 after structural relaxation.

a = 7.5939 Å, b = 7.5939 Å, c = 8.0088 Å
α = 61.70°, β = 61.70°, γ = 90.00°
With the nearest neighbours (Å) after each atom.
Element x y z (fractional)
Br  0.7053  0.7053  0.5894  1 Mn 2.44
Cs  0.2500  0.7500  0.5000  12 Br 3.83-4.01
Cs  0.7500  0.2500  0.5000  12 Br 3.83-4.01
Br  0.7683  0.2317  0.0000  1 Pt 2.49
Br  0.2317  0.7683  0.0000  1 Pt 2.49
Mn  0.5000  0.5000  0.0000  2 Br 2.44
Br  0.2947  0.2947  0.4106  1 Mn 2.44
Pt  0.0000  0.0000  0.0000  4 Br 2.49
Br  0.2317  0.2317  0.0000  1 Pt 2.49
Br  0.7683  0.7683  0.0000  1 Pt 2.49

spin magnetization: 4.88 μB per cell
total energy: -36.8 eV per formula unit
V: 342.7 Å³ per cell
energy relative to the elements, uncorrected: -9.8 eV/f.u.
crystal system: tetragonal

---

Record 10
Density functional theory data (PBE) for Cs2MnPtBr after structural relaxation.

a = 6.7219 Å, b = 4.9467 Å, c = 6.7219 Å
α = 90.00°, β = 90.00°, γ = 90.00°
With the nearest neighbours (Å) after each atom.
Element x y z (fractional)
Br  0.5000  0.5000  0.5000  8 Cs 4.17
Pt  0.0000  0.0000  0.0000  2 Mn 2.47
Mn  0.0000  0.5000  0.0000  2 Pt 2.47
Cs  0.0000  0.0000  0.5000  2 Pt 3.36
Cs  0.5000  0.0000  0.0000  2 Pt 3.36

DOS at the Fermi energy: 0.2326 states/eV per atom
spin magnetization: 5.04 μB per cell
total energy: -20.2 eV per formula unit
V: 223.5 Å³ per cell
energy relative to the elements, uncorrected: -1.6 eV/f.u.
crystal system: tetragonal